(1)
A relaxed structure of Sr2ZrTl3Te6, computed with PBE-GGA.

The value obtained for the total energy is -4.04 eV/atom.

The structure belongs to space group C2/m (No. 12); the cell edges are 8.033, 13.870 and 8.232 Å and the angles 90.00°, 109.31° and 90.00°. Symmetry generates all atoms from Sr at (0.000, 0.165, 0.000), Zr at (0.000, 0.500, 0.000), Tl at (0.000, 0.000, 0.500), Tl at (0.000, 0.330, 0.500), Te at (0.221, 0.500, 0.772) and Te at (0.224, 0.350, 0.221).

---

(2)
A relaxed structure of Sr3TmTe4, computed with PBE-GGA.

The value obtained for the total energy is -4.33 eV/atom.

The structure belongs to space group P2/c (No. 13); the cell edges are 8.027, 9.242 and 7.961 Å and the angles 90.00°, 109.57° and 90.00°. Symmetry generates all atoms from Sr at (0.000, 0.124, 0.250), Sr at (0.000, 0.375, 0.750), Sr at (0.500, 0.375, 0.250), Tm at (0.500, 0.122, 0.750), Te at (0.260, 0.363, 0.512) and Te at (0.269, 0.116, 0.999).

---

(3)
A relaxed structure of Sr2Tm3Te6, computed with PBE-GGA.

The value obtained for the total energy is -4.72 eV/atom.

The structure belongs to space group C2/m (No. 12); the cell edges are 7.603, 13.172 and 8.043 Å and the angles 90.00°, 108.49° and 90.00°. Symmetry generates all atoms from Sr at (0.000, 0.166, 0.000), Tm at (0.000, 0.000, 0.500), Tm at (0.000, 0.331, 0.500), Te at (0.238, 0.500, 0.726) and Te at (0.246, 0.164, 0.728).

---

(4)
A relaxed structure of SrTm6Te8, computed with PBE-GGA.

The value obtained for the total energy is -4.77 eV/atom.

The structure belongs to space group R-3 (No. 148, hexagonal axes); the cell edges are 11.6463, 11.6463 and 13.8093 Å and the angles 90.00°, 90.00° and 120.00°. Symmetry generates all atoms from Sr at (0.0000, 0.0000, 0.0000), Tm at (0.0201, 0.1917, 0.3912), Te at (0.0000, 0.0000, 0.2384) and Te at (0.0119, 0.3854, 0.2538).

---

(5)
A relaxed structure of SrTm4Te6, computed with PBE-GGA.

The value obtained for the total energy is -4.86 eV/atom.

The structure belongs to space group Cmcm (No. 63); the cell edges are 4.350, 14.229 and 22.396 Å and the angles 90.00°, 90.00° and 90.00°. Symmetry generates all atoms from Sr at (0.000, 0.157, 0.250), Tm at (0.000, 0.092, 0.626), Tm at (0.000, 0.359, 0.537), Te at (0.000, 0.000, 0.000), Te at (0.000, 0.171, 0.750), Te at (0.000, 0.268, 0.088) and Te at (0.000, 0.454, 0.659).

---

(6)
A relaxed structure of SrTmTe2, computed with PBE-GGA.

The value obtained for the total energy is -4.50 eV/atom. The energy above the most stable polymorph in this dataset comes out at 0.0446 eV per atom.

The structure belongs to space group R3m (No. 160, hexagonal axes); the cell edges are 4.3805, 4.3805 and 23.5415 Å and the angles 90.00°, 90.00° and 120.00°. Symmetry generates all atoms from Sr at (0.0000, 0.0000, 0.0000), Tm at (0.0000, 0.0000, 0.1728), Te at (0.0000, 0.0000, 0.5780) and Te at (0.0000, 0.0000, 0.7625).

---

(7)
A relaxed structure of SrTmTe2, computed with PBE-GGA.

The value obtained for the total energy is -4.55 eV/atom. The energy above the most stable polymorph in this dataset comes out at 0.0000 eV per atom.

The structure belongs to space group R-3m (No. 166, hexagonal axes); the cell edges are 4.4577, 4.4577 and 22.4699 Å and the angles 90.00°, 90.00° and 120.00°. Symmetry generates all atoms from Sr at (0.0000, 0.0000, 0.0000), Tm at (0.0000, 0.0000, 0.5000) and Te at (0.0000, 0.0000, 0.2422).

---

(8)
A relaxed structure of Sr4TmTe5, computed with PBE-GGA.

The value obtained for the total energy is -4.29 eV/atom.

The structure belongs to space group I4/m (No. 87); the cell edges are 10.368, 10.368 and 6.568 Å and the angles 90.00°, 90.00° and 90.00°. Symmetry generates all atoms from Sr at (0.094, 0.301, 0.000), Tm at (0.000, 0.000, 0.500), Te at (0.000, 0.000, 0.000) and Te at (0.096, 0.284, 0.500).

---

(9)
A relaxed structure of SrTm2Te4, computed with PBE-GGA.

The value obtained for the total energy is -4.77 eV/atom.

The structure belongs to space group Cmcm (No. 63); the cell edges are 4.385, 14.358 and 15.128 Å and the angles 90.00°, 90.00° and 90.00°. Symmetry generates all atoms from Sr at (0.000, 0.113, 0.250), Tm at (0.000, 0.366, 0.068), Te at (0.000, 0.000, 0.000), Te at (0.000, 0.272, 0.615) and Te at (0.000, 0.444, 0.250).

---

(10)
A relaxed structure of Sr3YTm3Te8, computed with PBE-GGA.

The value obtained for the total energy is -4.82 eV/atom.

The structure belongs to space group R-3m (No. 166, hexagonal axes); the cell edges are 8.8227, 8.8227 and 22.7657 Å and the angles 90.00°, 90.00° and 120.00°. Symmetry generates all atoms from Sr at (0.0000, 0.5000, 0.0000), Y at (0.0000, 0.0000, 0.5000), Tm at (0.0000, 0.5000, 0.5000), Te at (0.0000, 0.0000, 0.2423) and Te at (0.0080, 0.5040, 0.7567).

---

(11)
A relaxed structure of Sr4Y3TmTe8, computed with PBE-GGA.

The value obtained for the total energy is -4.97 eV/atom.

The structure belongs to space group R-3m (No. 166, hexagonal axes); the cell edges are 8.9647, 8.9647 and 22.5934 Å and the angles 90.00°, 90.00° and 120.00°. Symmetry generates all atoms from Sr at (0.0000, 0.0000, 0.0000), Sr at (0.0000, 0.5000, 0.0000), Y at (0.0000, 0.5000, 0.5000), Tm at (0.0000, 0.0000, 0.5000), Te at (0.0000, 0.0000, 0.2439) and Te at (0.0032, 0.5016, 0.2432).

---

(12)
A relaxed structure of Sr3Y3TmTe8, computed with PBE-GGA.

The value obtained for the total energy is -5.12 eV/atom.

The structure belongs to space group R-3m (No. 166, hexagonal axes); the cell edges are 8.8764, 8.8764 and 22.9012 Å and the angles 90.00°, 90.00° and 120.00°. Symmetry generates all atoms from Sr at (0.0000, 0.5000, 0.0000), Y at (0.0000, 0.5000, 0.5000), Tm at (0.0000, 0.0000, 0.5000), Te at (0.0000, 0.0000, 0.2439) and Te at (0.9995, 0.4998, 0.2430).